This record from Alexandria via LeMat-Bulk describes crystalline Mn3Ag at its relaxed geometry. The functional is PBE-GGA.

For the total energy, the calculation gives -7.28 eV per atom.

abc: 2.718 3.707 5.580
angles: 90.00 90.46 90.00
Space group P2/m (No. 10)
Unique sites:
1 Mn 0.000 0.000 0.000 [1 per cell]
2 Mn 0.497 0.500 0.230 [2 per cell]
3 Ag 0.000 0.000 0.500 [1 per cell]